No. 1
Below is a geometry-optimized Ac2NdZn structure, with properties calculated at the PBE level.

abc: 3.7763 3.7763 36.3458
angles: 90.00 90.00 120.00
Space group R-3m (No. 166, hexagonal axes)
Inequivalent atoms, fractional coordinates:
Ac  0.0000  0.0000  0.1003 [6 per cell]
Nd  0.0000  0.0000  0.0000 [3 per cell]
Zn  0.0000  0.0000  0.5000 [3 per cell]

Values from the calculation:
* ΔH_f (0 K): 196 meV/atom

No. 2
Below is a geometry-optimized PrTlAgSe2 structure, with properties calculated at the PBE level.

abc: 6.431 5.985 8.307
angles: 90.00 104.03 90.00
Space group P2/c (No. 13)
Inequivalent atoms, fractional coordinates:
Pr  0.000  0.009  0.250 [2 per cell]
Tl  0.500  0.330  0.250 [2 per cell]
Ag  0.000  0.500  0.000 [2 per cell]
Se  0.275  0.188  0.556 [4 per cell]

Values from the calculation:
* formation energy from raw total energies: -743 meV per atom

No. 3
Below is a geometry-optimized Pr3Ga2Rh4 structure, with properties calculated at the PBE level.

abc: 13.593 10.638 5.504
angles: 90.00 99.61 90.00
Space group C2/c (No. 15)
Inequivalent atoms, fractional coordinates:
Pr  0.000  0.115  0.250 [4 per cell]
Pr  0.139  0.375  0.921 [8 per cell]
Ga  0.218  0.140  0.534 [8 per cell]
Rh  0.091  0.351  0.406 [8 per cell]
Rh  0.147  0.069  0.904 [8 per cell]

Values from the calculation:
* ΔH_f (0 K): -561 meV/atom

No. 4
Below is a geometry-optimized AlTlO2 structure, with properties calculated at the PBE level.

abc: 3.0016 3.0016 6.6479
angles: 90.00 90.00 120.00
Space group P3m1 (No. 156)
Inequivalent atoms, fractional coordinates:
Al  0.0000  0.0000  0.0000 [1 per cell]
Tl  0.3333  0.6667  0.4784 [1 per cell]
O  0.3333  0.6667  0.8658 [1 per cell]
O  0.6667  0.3333  0.1535 [1 per cell]

Values from the calculation:
* formation energy from raw total energies: -1873 meV per atom

No. 5
Below is a geometry-optimized Sr2MoAs structure, with properties calculated at the PBE level.

abc: 7.243 7.266 4.317
angles: 90.00 90.00 90.00
Space group Cmmm (No. 65)
Inequivalent atoms, fractional coordinates:
Sr  0.250  0.250  0.000 [4 per cell]
Mo  0.000  0.000  0.500 [2 per cell]
As  0.000  0.500  0.500 [2 per cell]

Values from the calculation:
* ΔH_f (0 K): 331 meV/atom

No. 6
Below is a geometry-optimized LiNdGa2Au5 structure, with properties calculated at the PBE level.

abc: 4.689 4.689 8.626
angles: 90.00 90.00 90.00
Space group P4/mmm (No. 123)
Inequivalent atoms, fractional coordinates:
Li  0.000  0.000  0.000 [1 per cell]
Nd  0.000  0.000  0.500 [1 per cell]
Ga  0.500  0.500  0.144 [2 per cell]
Au  0.000  0.500  0.267 [4 per cell]
Au  0.500  0.500  0.500 [1 per cell]

Values from the calculation:
* ΔH_f (0 K): -402 meV/atom

Here are the calculated mass density numbers, same order: 7.4, 6.5, 8.2, 8.4, 5.1, 11.2 (g cm⁻³).
Here are the calculated M_tot numbers, same order: 0.57, 0.00, 0.00, 0.00, 4.11, 0.00 (μB per formula unit).